! Pr2Al2I PBE-GGA relaxed; values from VASP
&SYSTEM
  ibrav = 0, nat = 5, ntyp = 3
/
ATOMIC_SPECIES
Pr 140.91 Pr.upf
Al 26.98 Al.upf
I 126.90 I.upf
ATOMIC_POSITIONS angstrom
Pr 2.700 1.681 1.223
Pr -0.195 2.497 6.417
Al 1.360 0.874 4.158
Al 1.145 3.304 3.482
I 0.000 0.000 0.000
CELL_PARAMETERS angstrom
4.151 -0.011 -1.357
-2.297 3.714 -0.028
0.651 0.475 9.025
! Energy in eV per cell: -22.3
! Formation energy from raw total energies in eV per atom: -0.743